Material: EuEr2Au
Method: DFT, PBE
State: relaxed

Its energy above the most stable polymorph in this dataset is 0.093 eV/atom. The value obtained for the magnetic moment is 7.678 μB per formula unit. The value obtained for the calculated volume is 31.5 A^3/atom.

The space group is R-3m (No. 166, hexagonal axes) and the conventional cell measures 3.8010, 3.8010 and 30.1954 Å, with angles of 90.00, 90.00 and 120.00 degrees. Symmetry generates all atoms from Eu at (0.0000, 0.0000, 0.0000), Er at (0.0000, 0.0000, 0.2303) and Au at (0.0000, 0.0000, 0.5000).